This record from the Alexandria database describes crystalline Er2Fe3Cu at its relaxed geometry. The functional is GGA-PBE.

Cell and atoms, written as POSCAR:
```
Er2Fe3Cu
1.0
2.533 1.463 4.295
-2.533 1.463 4.295
0.000 -2.925 4.295
Er Fe Cu
2 3 1
direct
0.123 0.123 0.123 Er
0.877 0.877 0.877 Er
0.000 0.500 0.500 Fe
0.500 0.000 0.500 Fe
0.500 0.500 0.000 Fe
0.500 0.500 0.500 Cu
```

Computed properties:
space-group type	No. 166
calculated total energy	-39.19	eV/f.u.
V	15.92	Å³/atom
energy of formation	-9.38	kJ/mol of atoms
total magnetization	4.97	μB/cell
N(E_F)	6.8	states/eV per cell
crystal system	trigonal